Entry 1:
# Mg2ScRu GGA-PBE relaxed
# total DFT energy (no corrections)	-4.81	eV per atom
# DFT formation energy	-42.8	kJ/mol of formula units
# density of states at the Fermi level	3.2	states/eV/f.u.
data_Mg2ScRu
_chemical_formula_sum 'Mg2 Sc1 Ru1'
_cell_length_a 3.9434
_cell_length_b 3.9434
_cell_length_c 4.7128
_cell_angle_alpha 90.00
_cell_angle_beta 90.00
_cell_angle_gamma 90.00
_symmetry_space_group_name_H-M 'P 4/m m m'
_symmetry_Int_Tables_number 123
_symmetry_space_group_name_Hall '-P 4 2'
loop_
_atom_site_label
_atom_site_type_symbol
_atom_site_fract_x
_atom_site_fract_y
_atom_site_fract_z
_atom_site_occupancy
Mg1 Mg 0.0000 0.5000 0.0000 1
Sc1 Sc 0.0000 0.0000 0.5000 1
Ru1 Ru 0.5000 0.5000 0.5000 1

Entry 2:
# Mg2ScRu GGA-PBE relaxed
# total DFT energy (no corrections)	-4.74	eV per atom
# DFT formation energy	-16.4	kJ/mol of formula units
# density of states at the Fermi level	2.5	states/eV/f.u.
data_Mg2ScRu
_chemical_formula_sum 'Mg6 Sc3 Ru3'
_cell_length_a 3.1611
_cell_length_b 3.1611
_cell_length_c 27.9853
_cell_angle_alpha 90.00
_cell_angle_beta 90.00
_cell_angle_gamma 120.00
_symmetry_space_group_name_H-M 'R 3 m'
_symmetry_Int_Tables_number 160
_symmetry_space_group_name_Hall 'R 3 -2"'
loop_
_atom_site_label
_atom_site_type_symbol
_atom_site_fract_x
_atom_site_fract_y
_atom_site_fract_z
_atom_site_occupancy
Mg1 Mg 0.0000 0.0000 0.0000 1
Mg2 Mg 0.0000 0.0000 0.2369 1
Sc1 Sc 0.0000 0.0000 0.7644 1
Ru1 Ru 0.0000 0.0000 0.4970 1

Entry 3:
# MgScRu2 GGA-PBE relaxed
# total DFT energy (no corrections)	-6.68	eV per atom
# DFT formation energy	-22.7	kJ/mol of formula units
# density of states at the Fermi level	3.5	states/eV/f.u.
data_MgScRu2
_chemical_formula_sum 'Mg2 Sc2 Ru4'
_cell_length_a 3.1906
_cell_length_b 4.8138
_cell_length_c 8.4169
_cell_angle_alpha 90.00
_cell_angle_beta 90.00
_cell_angle_gamma 90.00
_symmetry_space_group_name_H-M 'I m m m'
_symmetry_Int_Tables_number 71
_symmetry_space_group_name_Hall '-I 2 2'
loop_
_atom_site_label
_atom_site_type_symbol
_atom_site_fract_x
_atom_site_fract_y
_atom_site_fract_z
_atom_site_occupancy
Mg1 Mg 0.0000 0.0000 0.0000 1
Sc1 Sc 0.0000 0.0000 0.5000 1
Ru1 Ru 0.0000 0.5000 0.2461 1

Entry 4:
# MgScRu2 GGA-PBE relaxed
# total DFT energy (no corrections)	-6.68	eV per atom
# DFT formation energy	-25.3	kJ/mol of formula units
# density of states at the Fermi level	3.6	states/eV/f.u.
data_MgScRu2
_chemical_formula_sum 'Mg1 Sc1 Ru2'
_cell_length_a 2.8696
_cell_length_b 4.2437
_cell_length_c 5.3308
_cell_angle_alpha 90.00
_cell_angle_beta 96.34
_cell_angle_gamma 90.00
_symmetry_space_group_name_H-M 'P 1 2/m 1'
_symmetry_Int_Tables_number 10
_symmetry_space_group_name_Hall '-P 2y'
loop_
_atom_site_label
_atom_site_type_symbol
_atom_site_fract_x
_atom_site_fract_y
_atom_site_fract_z
_atom_site_occupancy
Mg1 Mg 0.0000 0.0000 0.0000 1
Sc1 Sc 0.5000 0.0000 0.5000 1
Ru1 Ru 0.2631 0.5000 0.7420 1

Entry 5:
# Mg2Sc2Ru GGA-PBE relaxed
# total DFT energy (no corrections)	-4.83	eV per atom
# DFT formation energy	95.8	kJ/mol of formula units
# density of states at the Fermi level	6.0	states/eV/f.u.
data_Mg2Sc2Ru
_chemical_formula_sum 'Mg4 Sc4 Ru2'
_cell_length_a 6.7387
_cell_length_b 6.7387
_cell_length_c 4.5462
_cell_angle_alpha 90.00
_cell_angle_beta 90.00
_cell_angle_gamma 90.00
_symmetry_space_group_name_H-M 'P 4/m b m'
_symmetry_Int_Tables_number 127
_symmetry_space_group_name_Hall '-P 4 2ab'
loop_
_atom_site_label
_atom_site_type_symbol
_atom_site_fract_x
_atom_site_fract_y
_atom_site_fract_z
_atom_site_occupancy
Mg1 Mg 0.1397 0.3603 0.0000 1
Sc1 Sc 0.1824 0.6824 0.5000 1
Ru1 Ru 0.0000 0.0000 0.0000 1

Entry 6:
# MgSc2Ru2 GGA-PBE relaxed
# total DFT energy (no corrections)	-6.90	eV per atom
# DFT formation energy	-161.3	kJ/mol of formula units
# density of states at the Fermi level	2.4	states/eV/f.u.
data_MgSc2Ru2
_chemical_formula_sum 'Mg2 Sc4 Ru4'
_cell_length_a 7.3359
_cell_length_b 7.3359
_cell_length_c 3.3538
_cell_angle_alpha 90.00
_cell_angle_beta 90.00
_cell_angle_gamma 90.00
_symmetry_space_group_name_H-M 'P 4/m b m'
_symmetry_Int_Tables_number 127
_symmetry_space_group_name_Hall '-P 4 2ab'
loop_
_atom_site_label
_atom_site_type_symbol
_atom_site_fract_x
_atom_site_fract_y
_atom_site_fract_z
_atom_site_occupancy
Mg1 Mg 0.0000 0.0000 0.0000 1
Sc1 Sc 0.1524 0.3476 0.5000 1
Ru1 Ru 0.1458 0.6458 0.0000 1

Entry 7:
# MgScRu2 GGA-PBE relaxed
# total DFT energy (no corrections)	-6.65	eV per atom
# DFT formation energy	-10.6	kJ/mol of formula units
# density of states at the Fermi level	3.5	states/eV/f.u.
data_MgScRu2
_chemical_formula_sum 'Mg3 Sc3 Ru6'
_cell_length_a 3.0016
_cell_length_b 3.0016
_cell_length_c 25.1449
_cell_angle_alpha 90.00
_cell_angle_beta 90.00
_cell_angle_gamma 120.00
_symmetry_space_group_name_H-M 'R -3 m'
_symmetry_Int_Tables_number 166
_symmetry_space_group_name_Hall '-R 3 2"'
loop_
_atom_site_label
_atom_site_type_symbol
_atom_site_fract_x
_atom_site_fract_y
_atom_site_fract_z
_atom_site_occupancy
Mg1 Mg 0.0000 0.0000 0.0000 1
Sc1 Sc 0.0000 0.0000 0.5000 1
Ru1 Ru 0.0000 0.0000 0.2484 1

Entry 8:
# Mg2ScRu GGA-PBE relaxed
# total DFT energy (no corrections)	-4.83	eV per atom
# DFT formation energy	-50.8	kJ/mol of formula units
# density of states at the Fermi level	3.1	states/eV/f.u.
data_Mg2ScRu
_chemical_formula_sum 'Mg8 Sc4 Ru4'
_cell_length_a 6.6266
_cell_length_b 6.6266
_cell_length_c 6.6266
_cell_angle_alpha 90.00
_cell_angle_beta 90.00
_cell_angle_gamma 90.00
_symmetry_space_group_name_H-M 'F -4 3 m'
_symmetry_Int_Tables_number 216
_symmetry_space_group_name_Hall 'F -4 2 3'
loop_
_atom_site_label
_atom_site_type_symbol
_atom_site_fract_x
_atom_site_fract_y
_atom_site_fract_z
_atom_site_occupancy
Mg1 Mg 0.0000 0.0000 0.0000 1
Mg2 Mg 0.2500 0.2500 0.2500 1
Sc1 Sc 0.0000 0.0000 0.5000 1
Ru1 Ru 0.2500 0.2500 0.7500 1

Entry 9:
# MgSc6Ru GGA-PBE relaxed
# total DFT energy (no corrections)	-6.05	eV per atom
# DFT formation energy	48.2	kJ/mol of formula units
# density of states at the Fermi level	8.6	states/eV/f.u.
data_MgSc6Ru
_chemical_formula_sum 'Mg2 Sc12 Ru2'
_cell_length_a 6.5460
_cell_length_b 10.6939
_cell_length_c 6.0418
_cell_angle_alpha 90.00
_cell_angle_beta 116.94
_cell_angle_gamma 90.00
_symmetry_space_group_name_H-M 'C 1 2/m 1'
_symmetry_Int_Tables_number 12
_symmetry_space_group_name_Hall '-C 2y'
loop_
_atom_site_label
_atom_site_type_symbol
_atom_site_fract_x
_atom_site_fract_y
_atom_site_fract_z
_atom_site_occupancy
Mg1 Mg 0.0000 0.0000 0.0000 1
Sc1 Sc 0.2132 0.2925 0.7449 1
Sc2 Sc 0.2259 0.5000 0.2762 1
Ru1 Ru 0.0000 0.5000 0.5000 1

Entry 10:
# Mg4Sc5Ru GGA-PBE relaxed
# total DFT energy (no corrections)	-4.91	eV per atom
# DFT formation energy	-174.6	kJ/mol of formula units
# density of states at the Fermi level	6.7	states/eV/f.u.
data_Mg4Sc5Ru
_chemical_formula_sum 'Mg4 Sc5 Ru1'
_cell_length_a 3.3460
_cell_length_b 3.3460
_cell_length_c 19.4518
_cell_angle_alpha 90.00
_cell_angle_beta 90.00
_cell_angle_gamma 90.00
_symmetry_space_group_name_H-M 'P 4/m m m'
_symmetry_Int_Tables_number 123
_symmetry_space_group_name_Hall '-P 4 2'
loop_
_atom_site_label
_atom_site_type_symbol
_atom_site_fract_x
_atom_site_fract_y
_atom_site_fract_z
_atom_site_occupancy
Mg1 Mg 0.0000 0.0000 0.1041 1
Mg2 Mg 0.0000 0.0000 0.3129 1
Sc1 Sc 0.5000 0.5000 0.0000 1
Sc2 Sc 0.5000 0.5000 0.2085 1
Sc3 Sc 0.5000 0.5000 0.4228 1
Ru1 Ru 0.0000 0.0000 0.5000 1

Entry 11:
# Mg2ScRu GGA-PBE relaxed
# total DFT energy (no corrections)	-4.64	eV per atom
# DFT formation energy	21.3	kJ/mol of formula units
# density of states at the Fermi level	2.3	states/eV/f.u.
data_Mg2ScRu
_chemical_formula_sum 'Mg4 Sc2 Ru2'
_cell_length_a 5.4838
_cell_length_b 8.8289
_cell_length_c 3.0593
_cell_angle_alpha 90.00
_cell_angle_beta 90.00
_cell_angle_gamma 90.00
_symmetry_space_group_name_H-M 'C m m m'
_symmetry_Int_Tables_number 65
_symmetry_space_group_name_Hall '-C 2 2'
loop_
_atom_site_label
_atom_site_type_symbol
_atom_site_fract_x
_atom_site_fract_y
_atom_site_fract_z
_atom_site_occupancy
Mg1 Mg 0.2500 0.2500 0.0000 1
Sc1 Sc 0.0000 0.0000 0.5000 1
Ru1 Ru 0.0000 0.5000 0.5000 1

Entry 12:
# MgSc4Ru3 GGA-PBE relaxed
# total DFT energy (no corrections)	-7.32	eV per atom
# DFT formation energy	-364.5	kJ/mol of formula units
# density of states at the Fermi level	2.5	states/eV/f.u.
data_MgSc4Ru3
_chemical_formula_sum 'Mg1 Sc4 Ru3'
_cell_length_a 4.5941
_cell_length_b 4.5941
_cell_length_c 6.7013
_cell_angle_alpha 90.00
_cell_angle_beta 90.00
_cell_angle_gamma 90.00
_symmetry_space_group_name_H-M 'P 4/m m m'
_symmetry_Int_Tables_number 123
_symmetry_space_group_name_Hall '-P 4 2'
loop_
_atom_site_label
_atom_site_type_symbol
_atom_site_fract_x
_atom_site_fract_y
_atom_site_fract_z
_atom_site_occupancy
Mg1 Mg 0.0000 0.0000 0.0000 1
Sc1 Sc 0.0000 0.5000 0.2693 1
Ru1 Ru 0.0000 0.0000 0.5000 1
Ru2 Ru 0.5000 0.5000 0.0000 1
Ru3 Ru 0.5000 0.5000 0.5000 1